1.
Below is Pm7Ni2Sn2 after structural relaxation, with properties calculated at the PBE level.

Structure (CIF):
```
data_Pm7Ni2Sn2
_chemical_formula_sum 'Pm14 Ni4 Sn4'
_cell_length_a 8.1209
_cell_length_b 11.4158
_cell_length_c 7.0498
_cell_angle_alpha 90.00
_cell_angle_beta 90.00
_cell_angle_gamma 90.00
_space_group_name_H-M_alt 'C m m m'
_space_group_IT_number 65
_space_group_name_Hall '-C 2 2'
loop_
_atom_site_label
_atom_site_fract_x
_atom_site_fract_y
_atom_site_fract_z
Pm1 0.0000 0.0000 0.0000
Pm2 0.0000 0.5000 0.2320
Pm3 0.2500 0.2500 0.2492
Ni1 0.0000 0.2875 0.0000
Sn1 0.1773 0.0000 0.5000
```

Properties
* N(E_F): 24.14 states/eV per cell
* ΔE_f: -0.287 eV/atom
* theoretical density: 6.961 Mg/m³

***

2.
Below is ZrNbFePd after structural relaxation, with properties calculated at the PBE level.

Structure (CIF):
```
data_ZrNbFePd
_chemical_formula_sum 'Zr1 Nb1 Fe1 Pd1'
_cell_length_a 2.9898
_cell_length_b 2.9898
_cell_length_c 7.3560
_cell_angle_alpha 90.00
_cell_angle_beta 90.00
_cell_angle_gamma 90.00
_space_group_name_H-M_alt 'P 4 m m'
_space_group_IT_number 99
loop_
_space_group_symop_operation_xyz
'x,y,z'
'-y,x,z'
'-x,-y,z'
'y,-x,z'
'-x,y,z'
'y,x,z'
'x,-y,z'
'-y,-x,z'
loop_
_atom_site_label
_atom_site_fract_x
_atom_site_fract_y
_atom_site_fract_z
Zr1 0.0000 0.0000 0.0000
Nb1 0.0000 0.0000 0.4482
Fe1 0.5000 0.5000 0.2415
Pd1 0.5000 0.5000 0.7125
```

Properties
* N(E_F): 3.84 states/eV per cell
* ΔE_f: -0.246 eV/atom
* theoretical density: 8.748 Mg/m³

***

3.
Below is AcSm2BiO8 after structural relaxation, with properties calculated at the PBE level.

Structure (CIF):
```
data_AcSm2BiO8
_chemical_formula_sum 'Ac1 Sm2 Bi1 O8'
_cell_length_a 4.0906
_cell_length_b 7.9603
_cell_length_c 5.4899
_cell_angle_alpha 90.00
_cell_angle_beta 92.79
_cell_angle_gamma 90.00
_space_group_name_H-M_alt 'P 1 2/m 1'
_space_group_IT_number 10
loop_
_space_group_symop_operation_xyz
'x,y,z'
'-x,-y,-z'
'-x,y,-z'
'x,-y,z'
loop_
_atom_site_label
_atom_site_fract_x
_atom_site_fract_y
_atom_site_fract_z
Ac1 0.0000 0.0000 0.0000
Sm1 0.5000 0.2618 0.5000
Bi1 0.0000 0.5000 0.0000
O1 0.0252 0.2803 0.7526
O2 0.4602 0.5000 0.2276
O3 0.4992 0.0000 0.2757
```

Properties
* N(E_F): 9.49 states/eV per cell
* ΔE_f (raw): -2252 meV per atom
* theoretical density: 8.042 Mg/m³

***

Q: theoretical density of number 3 (AcSm2BiO8)?
A: 8.042 Mg/m³